Entry 1:
A plane-wave DFT calculation with GGA-PBE was carried out for a relaxed structure of TaZnCu2S.

Lattice parameters (Å, degrees): 4.7910 5.1048 4.7910 90.00 90.00 90.00
Closest atoms and distances in Å follow each position.
Fractional positions:
Zn 0.0000 0.5000 0.0000  2 Ta 2.55
S 0.5000 0.5000 0.5000  4 Zn 3.39, 8 Cu 3.50
Cu 0.0000 0.0000 0.5000  2 Ta 2.40
Cu 0.5000 0.0000 0.0000  2 Ta 2.40
Ta 0.0000 0.0000 0.0000  4 Cu 2.40, 2 Zn 2.55

Output
total DFT energy (no corrections): -17.67 eV for the cell shown
density of states at the Fermi level: 0.975 states/eV/atom
symmetry: No. 123

***

Entry 2:
A plane-wave DFT calculation with GGA-PBE was carried out for a relaxed structure of CsBeAgCl4.

Lattice parameters (Å, degrees): 6.1770 7.1828 9.3824 90.00 110.19 90.00
Closest atoms and distances in Å follow each position.
Fractional positions:
Cs 0.6679 0.7500 0.8957  9 Cl 3.47-3.87
Cs 0.3321 0.2500 0.1043  9 Cl 3.47-3.87
Be 0.1645 0.7500 0.3010  4 Cl 2.01-2.07
Be 0.8355 0.2500 0.6990  4 Cl 2.01-2.07
Ag 0.8291 0.7500 0.4866  5 Cl 2.57-2.84
Ag 0.1709 0.2500 0.5134  5 Cl 2.57-2.84
Cl 0.0449 0.4789 0.7110  1 Be 2.07
Cl 0.9551 0.9789 0.2890  1 Be 2.07
Cl 0.9551 0.5211 0.2890  1 Be 2.07
Cl 0.0449 0.0211 0.7110  1 Be 2.07
Cl 0.2755 0.7500 0.1224  1 Be 2.02
Cl 0.7245 0.2500 0.8776  1 Be 2.02
Cl 0.4224 0.7500 0.5030  1 Be 2.01
Cl 0.5776 0.2500 0.4970  1 Be 2.01

Output
total DFT energy (no corrections): -48.44 eV for the cell shown
density of states at the Fermi level: 0.000 states/eV/atom
symmetry: No. 11